12
Lattice="-2.1256 2.4958 4.6071 -3.2979 -4.4941 0.9130 13.3565 -8.3369 7.2090" Properties=species:S:1:pos:R:3 comment="Rb3Sr2Cl7 | Alexandria | PBE | relaxed" space_group=Cmmm raw_formation_energy_ev_per_atom=-2.14 dft_energy_ev_per_cell=-44.8 pbc="T T T"
Rb -2.7118 -0.9991 2.7601
Rb 6.9737 -7.2192 7.1285
Rb 0.9592 -3.1160 5.6006
Sr 2.0846 -1.2021 1.6130
Sr 9.1463 -4.6390 10.2030
Cl 0.9481 0.0883 3.8595
Cl 4.1053 -2.3673 3.1766
Cl 0.0000 0.0000 0.0000
Cl 10.2828 -5.9294 7.9565
Cl 7.5776 -6.9324 10.7217
Cl 0.3553 -3.4028 2.0074
Cl 7.1256 -3.4738 8.6395

***

4
Lattice="-1.6733 4.0725 -0.2104 -3.7060 2.3865 0.0109 -0.6133 1.2711 4.0490" Properties=species:S:1:pos:R:3 comment="BeFe2Os | Alexandria | PBE | relaxed" space_group=Cm dft_energy_ev_per_cell=-31.7 ef_mev_per_atom=57 pbc="T T T"
Be -1.5436 1.9921 0.9993
Os -3.0393 3.9031 1.8198
Fe -5.9114 7.6301 3.8338
Fe -4.4873 5.7999 2.9707

***

4
Lattice="4.9243 0.0000 0.0000 0.0000 4.8698 0.0000 0.0000 0.0000 4.8698" Properties=species:S:1:pos:R:3 comment="TbPm2Sn | Alexandria | PBE | relaxed" space_group=P4/mmm dft_energy_ev_per_cell=-19.9 polymorph_energy_mev_per_atom=0 ef_mev_per_atom=-441 pbc="T T T"
Tb 2.4622 2.4349 2.4349
Sn 2.4622 0.0000 0.0000
Pm 0.0000 0.0000 2.4349
Pm 0.0000 2.4349 0.0000

***

4
Lattice="5.6456 0.0000 0.0000 2.8228 4.8893 0.0000 2.8228 1.6298 4.6096" Properties=species:S:1:pos:R:3 comment="LaEuHoIn | Alexandria | PBE | relaxed" space_group=F-43m dft_energy_ev_per_cell=-23.0 ef_mev_per_atom=-130 pbc="T T T"
Eu 5.6456 3.2595 2.3048
In 2.8228 1.6298 1.1524
Ho 8.4685 4.8893 3.4572
La 0.0000 0.0000 0.0000